Compound: SbPPt3
Source: Alexandria
Functional: SCAN
Structure: PBEsol geometry

ΔE_f (raw)   0.66 eV per formula unit

```
5
Lattice="4.5268 0.0000 0.0000 0.0000 4.5268 0.0000 0.0000 0.0000 4.5268" Properties=species:S:1:pos:R:3 pbc="T T T"
Sb 2.2634 2.2634 2.2634
Pt 0.0000 2.2634 0.0000
Pt 0.0000 0.0000 2.2634
Pt 2.2634 0.0000 0.0000
P 0.0000 0.0000 0.0000
```